No. 1
Computed, not measured: an optimized crystal structure of AcTbP2 at the PBE level of DFT.

Properties
The total magnetization is 0.00 μB/f.u. As for the total energy: -6.387 eV per atom. As for the offset from the most stable computed form: 0.0 meV/atom. As for the crystal system: trigonal.

a = 4.2372 Å, b = 4.2372 Å, c = 20.8043 Å
α = 90.00°, β = 90.00°, γ = 120.00°
Space group R-3m (No. 166, hexagonal axes)
Asymmetric unit:
Ac 0.0000 0.0000 0.0000 x3
Tb 0.0000 0.0000 0.5000 x3
P 0.0000 0.0000 0.2426 x6

---

No. 2
Computed, not measured: an optimized crystal structure of NaNi2Cl6 at the PBE level of DFT.

Properties
The total magnetization is 2.96 μB/f.u. As for the total energy: -3.444 eV per atom. Its formation energy without anion corrections is -75 kJ per mole of atoms. As for the crystal system: trigonal.

a = 6.1003 Å, b = 6.1003 Å, c = 6.2093 Å
α = 90.00°, β = 90.00°, γ = 120.00°
Space group P-31m (No. 162)
Asymmetric unit:
Na 0.0000 0.0000 0.0000 x1
Ni 0.3333 0.6667 0.5000 x2
Cl 0.0000 0.3694 0.7134 x6

---

No. 3
Computed, not measured: an optimized crystal structure of Zr2HgRu at the PBE level of DFT.

Properties
The total magnetization is 0.00 μB/f.u. As for the total energy: -6.821 eV per atom. As for the crystal system: tetragonal.

a = 3.3693 Å, b = 3.3693 Å, c = 6.9936 Å
α = 90.00°, β = 90.00°, γ = 90.00°
Space group P4mm (No. 99)
Asymmetric unit:
Zr 0.0000 0.0000 0.0000 x1
Zr 0.5000 0.5000 0.2814 x1
Hg 0.0000 0.0000 0.5537 x1
Ru 0.5000 0.5000 0.8054 x1

---

No. 4
Computed, not measured: an optimized crystal structure of YTa2 at the PBE level of DFT.

Properties
The total magnetization is 0.00 μB/f.u. As for the total energy: -9.793 eV per atom. As for the offset from the most stable computed form: 17.2 meV/atom. As for the crystal system: monoclinic.

a = 10.9557 Å, b = 3.3917 Å, c = 7.6276 Å
α = 90.00°, β = 109.25°, γ = 90.00°
Space group C2/m (No. 12)
Asymmetric unit:
Y 0.1572 0.0000 0.1055 x4
Ta 0.0168 0.5000 0.7044 x4
Ta 0.1575 0.0000 0.5512 x4

---

- Which value of total magnetization does entry 4 give?
  0.00 μB/f.u.